Entry 1:
A plane-wave DFT calculation with SCAN was carried out for a PBEsol-optimized structure of SrGaSnH.

Summary:
Total magnetic moment ... 0.000 μB per formula unit
DFT total energy ... -80.2 eV per formula unit
Space group ... P3m1 (156)

The structure in CIF format:
```
data_SrGaSnH
_cell_length_a 4.4165
_cell_length_b 4.4165
_cell_length_c 5.0043
_cell_angle_alpha 90.00
_cell_angle_beta 90.00
_cell_angle_gamma 120.00
_space_group_name_H-M_alt 'P 1'
_space_group_IT_number 1
loop_
_space_group_symop_operation_xyz
'x,y,z'
loop_
_atom_site_label
_atom_site_fract_x
_atom_site_fract_y
_atom_site_fract_z
Sn1 0.6667 0.3333 0.5502
H1 0.3333 0.6667 0.0569
Sr1 0.0000 0.0000 0.0011
Ga1 0.3333 0.6667 0.4025
```

***

Entry 2:
A plane-wave DFT calculation with SCAN was carried out for a PBEsol-optimized structure of Tm2Al9Ir3.

Summary:
Total magnetic moment ... 0.000 μB per formula unit
Energy of formation from the pure elements ... -14.1 eV/f.u.
N(E_F) ... 8.95 states/eV/cell
Space group ... Cmcm (63)

The structure in CIF format:
```
data_Tm2Al9Ir3
_cell_length_a 7.4660
_cell_length_b 7.4660
_cell_length_c 9.3440
_cell_angle_alpha 90.00
_cell_angle_beta 90.00
_cell_angle_gamma 119.50
_space_group_name_H-M_alt 'P 1'
_space_group_IT_number 1
loop_
_space_group_symop_operation_xyz
'x,y,z'
loop_
_atom_site_label
_atom_site_fract_x
_atom_site_fract_y
_atom_site_fract_z
Al1 0.8718 0.8718 0.2500
Tm1 0.3277 0.0050 0.2500
Ir1 0.0000 0.0000 0.0000
Tm2 0.0050 0.3277 0.2500
Al2 0.6674 0.6674 0.9467
Tm3 0.9950 0.6723 0.7500
Ir2 0.6723 0.3277 0.0000
Al3 0.9997 0.6644 0.0756
Al4 0.5507 0.3401 0.7500
Al5 0.6674 0.6674 0.5533
Al6 0.3401 0.5507 0.7500
Tm4 0.6723 0.9950 0.7500
Al7 0.9997 0.6644 0.4244
Al8 0.6599 0.4493 0.2500
Al9 0.3356 0.0003 0.5756
Ir3 0.6723 0.3277 0.5000
Al10 0.3326 0.3326 0.0533
Al11 0.4493 0.6599 0.2500
Al12 0.0003 0.3356 0.5756
Ir4 0.3277 0.6723 0.5000
Ir5 0.3277 0.6723 0.0000
Ir6 0.0000 0.0000 0.5000
Al13 0.6644 0.9997 0.4244
Al14 0.0003 0.3356 0.9244
Al15 0.3326 0.3326 0.4467
Al16 0.1282 0.1282 0.7500
Al17 0.6644 0.9997 0.0756
Al18 0.3356 0.0003 0.9244
```

***

Entry 3:
A plane-wave DFT calculation with SCAN was carried out for a PBEsol-optimized structure of Zr4PPb.

Summary:
Total magnetic moment ... 0.000 μB per formula unit
Energy of formation from the pure elements ... 1.3 eV/f.u.
N(E_F) ... 5.53 states/eV/cell
Space group ... F-43m (216)

The structure in CIF format:
```
data_Zr4PPb
_cell_length_a 5.6556
_cell_length_b 5.6556
_cell_length_c 5.6556
_cell_angle_alpha 60.00
_cell_angle_beta 60.00
_cell_angle_gamma 60.00
_space_group_name_H-M_alt 'P 1'
_space_group_IT_number 1
loop_
_space_group_symop_operation_xyz
'x,y,z'
loop_
_atom_site_label
_atom_site_fract_x
_atom_site_fract_y
_atom_site_fract_z
Zr1 0.3747 0.8760 0.3747
P1 0.7500 0.7500 0.7500
Pb1 0.0000 0.0000 0.0000
Zr2 0.8760 0.3747 0.3747
Zr3 0.3747 0.3747 0.3747
Zr4 0.3747 0.3747 0.8760
```

***

Entry 4:
A plane-wave DFT calculation with SCAN was carried out for a PBEsol-optimized structure of Mg2InW.

Summary:
Total magnetic moment ... 0.000 μB per formula unit
Energy of formation from the pure elements ... 1.0 eV/f.u.
N(E_F) ... 1.44 states/eV/cell
Space group ... P4/mmm (123)

The structure in CIF format:
```
data_Mg2InW
_cell_length_a 2.8688
_cell_length_b 2.8688
_cell_length_c 9.2193
_cell_angle_alpha 90.00
_cell_angle_beta 90.00
_cell_angle_gamma 90.00
_space_group_name_H-M_alt 'P 1'
_space_group_IT_number 1
loop_
_space_group_symop_operation_xyz
'x,y,z'
loop_
_atom_site_label
_atom_site_fract_x
_atom_site_fract_y
_atom_site_fract_z
Mg1 0.0000 0.0000 0.2297
Mg2 0.0000 0.0000 0.7703
W1 0.5000 0.5000 0.0000
In1 0.5000 0.5000 0.5000
```

***

Entry 5:
A plane-wave DFT calculation with SCAN was carried out for a PBEsol-optimized structure of Li3MnCo2O6.

Summary:
Total magnetic moment ... 6.000 μB per formula unit
ΔE to the lowest computed polymorph ... 0.037 eV/atom
N(E_F) ... 4.06 states/eV/cell
Space group ... C2/m (12)

The structure in CIF format:
```
data_Li3MnCo2O6
_cell_length_a 2.8231
_cell_length_b 7.4746
_cell_length_c 9.6628
_cell_angle_alpha 93.14
_cell_angle_beta 98.39
_cell_angle_gamma 100.88
_space_group_name_H-M_alt 'P 1'
_space_group_IT_number 1
loop_
_space_group_symop_operation_xyz
'x,y,z'
loop_
_atom_site_label
_atom_site_fract_x
_atom_site_fract_y
_atom_site_fract_z
Li1 0.2518 0.7492 0.7540
O1 0.3840 0.3760 0.3920
O2 0.7964 0.4585 0.1346
O3 0.2794 0.9560 0.6030
Li2 0.7482 0.2508 0.2460
O4 0.6160 0.6240 0.6080
Mn1 0.5000 0.0000 0.0000
O5 0.9479 0.2897 0.6062
Li3 0.4164 0.5887 0.2443
O6 0.2036 0.5415 0.8654
Co1 0.1775 0.3549 0.0000
O7 0.0521 0.7103 0.3938
Li4 0.5836 0.4113 0.7557
Li5 0.0776 0.9104 0.2451
Co2 0.6674 0.8345 0.5003
Co3 0.8225 0.6451 0.0000
Li6 0.9224 0.0896 0.7549
O8 0.1137 0.1148 0.1127
O9 0.4587 0.8020 0.1156
O10 0.8863 0.8852 0.8873
Co4 0.3326 0.1655 0.4997
O11 0.7206 0.0440 0.3970
O12 0.5413 0.1980 0.8844
Mn2 0.0000 0.5000 0.5000
```

***

Entry 6:
A plane-wave DFT calculation with SCAN was carried out for a PBEsol-optimized structure of Y3Al4.

Summary:
Total magnetic moment ... 0.468 μB per formula unit
Energy of formation from the pure elements ... -1.7 eV/f.u.
N(E_F) ... 4.12 states/eV/cell
Space group ... I4/mmm (139)

The structure in CIF format:
```
data_Y3Al4
_cell_length_a 3.3375
_cell_length_b 3.3375
_cell_length_c 14.0234
_cell_angle_alpha 96.83
_cell_angle_beta 96.83
_cell_angle_gamma 90.00
_space_group_name_H-M_alt 'P 1'
_space_group_IT_number 1
loop_
_space_group_symop_operation_xyz
'x,y,z'
loop_
_atom_site_label
_atom_site_fract_x
_atom_site_fract_y
_atom_site_fract_z
Y1 0.2996 0.2996 0.5992
Al1 0.8737 0.8737 0.7473
Y2 0.0000 0.0000 0.0000
Al2 0.1263 0.1263 0.2527
Al3 0.4247 0.4247 0.8494
Y3 0.7004 0.7004 0.4008
Al4 0.5753 0.5753 0.1506
```

***

- Which value of total magnetic moment does entry 1 give?
  0.000 μB per formula unit

***

- What is the formula in the sixth record?
  Y3Al4